# CuI

A crystal of CuI relaxed with PBEsol (meta-GGA SCAN, Alexandria via LeMat-Bulk).

a b c (Å): 4.192 4.192 4.192
angles (deg): 60.00 60.00 60.00
Atoms (fractional coordinates):
Cu 0.000 0.000 0.000
I 0.750 0.750 0.750

Energy relative to the elements, uncorrected, eV/atom: -0.113